1.
Here is a geometry-optimized BaSmPdO4 structure from Alexandria. Energies are from PBE.

Summary:
The value obtained for the volume is 247 Å³ per cell. As for the uncorrected formation energy: -1.950 eV per atom.

Unit cell a=6.721 b=7.080 c=7.232 alpha=120.71 beta=90.00 gamma=118.33
Element x y z (fractional)
O 0.265 0.531 0.695
Ba 0.855 0.710 0.105
O 0.735 0.469 0.664
Sm 0.500 0.000 0.500
O 0.285 0.001 0.750
O 0.735 0.469 0.305
Sm 0.500 0.000 0.000
Pd 0.000 0.500 0.500
Ba 0.145 0.290 0.895
Pd 0.500 0.500 0.500
O 0.284 0.999 0.250
O 0.715 0.999 0.250
O 0.265 0.531 0.336
O 0.716 0.001 0.750

=====

2.
Here is a geometry-optimized BaSm2PdO5 structure from Alexandria. Energies are from PBE.

Summary:
The value obtained for the volume is 277 Å³ per cell. For the polymorph energy (0 for the lowest one), the calculation gives 0.1952 eV per atom. As for the uncorrected formation energy: -2.422 eV per atom.

Unit cell a=6.706 b=6.706 c=7.781 alpha=115.52 beta=115.52 gamma=90.00
Element x y z (fractional)
O 0.977 0.477 0.236
Sm 0.172 0.328 0.000
O 0.241 0.023 0.764
O 0.523 0.741 0.764
Sm 0.828 0.672 0.000
Ba 0.250 0.250 0.500
Pd 0.250 0.750 0.500
O 0.759 0.977 0.236
O 0.259 0.759 0.236
O 0.477 0.259 0.236
O 0.023 0.523 0.764
Sm 0.328 0.828 0.000
Sm 0.672 0.172 0.000
Pd 0.750 0.250 0.500
O 0.000 0.000 0.000
O 0.741 0.241 0.764
Ba 0.750 0.750 0.500
O 0.500 0.500 0.000

=====

3.
Here is a geometry-optimized BaSm2PdO5 structure from Alexandria. Energies are from PBE.

Summary:
The value obtained for the volume is 270 Å³ per cell. The value obtained for the density of states at the Fermi level is 0.000 states/eV per atom. For the polymorph energy (0 for the lowest one), the calculation gives 0.0000 eV per atom. As for the uncorrected formation energy: -2.618 eV per atom.

Unit cell a=6.726 b=6.726 c=5.963 alpha=90.00 beta=90.00 gamma=90.00
Element x y z (fractional)
Pd 0.000 0.500 0.000
Sm 0.174 0.326 0.500
Sm 0.674 0.174 0.500
O 0.359 0.141 0.255
O 0.859 0.359 0.745
Ba 0.500 0.500 0.000
O 0.000 0.000 0.500
O 0.641 0.859 0.255
Pd 0.500 0.000 0.000
O 0.141 0.641 0.745
Sm 0.326 0.826 0.500
O 0.500 0.500 0.500
O 0.141 0.641 0.255
O 0.641 0.859 0.745
Sm 0.826 0.674 0.500
O 0.859 0.359 0.255
O 0.359 0.141 0.745
Ba 0.000 0.000 0.000

=====

4.
Here is a geometry-optimized Ba2SmPdO5 structure from Alexandria. Energies are from PBE.

Summary:
The value obtained for the volume is 308 Å³ per cell. The value obtained for the density of states at the Fermi level is 0.327 states/eV per atom. As for the uncorrected formation energy: -2.115 eV per atom.

Unit cell a=3.629 b=7.292 c=12.015 alpha=90.00 beta=90.00 gamma=104.41
Element x y z (fractional)
Ba 0.148 0.296 0.309
O 0.045 0.090 0.047
O 0.955 0.910 0.547
O 0.665 0.330 0.896
O 0.517 0.033 0.282
Ba 0.852 0.704 0.809
Sm 0.794 0.588 0.522
Ba 0.904 0.808 0.188
O 0.483 0.967 0.782
O 0.627 0.254 0.488
Ba 0.096 0.192 0.688
Pd 0.519 0.039 0.948
O 0.277 0.555 0.645
Sm 0.206 0.412 0.022
O 0.335 0.670 0.396
Pd 0.481 0.961 0.448
O 0.373 0.746 0.988
O 0.723 0.445 0.145

=====

Please write out number 4 again, unchanged.
Here is a geometry-optimized Ba2SmPdO5 structure from Alexandria. Energies are from PBE.

Summary:
The value obtained for the volume is 308 Å³ per cell. The value obtained for the density of states at the Fermi level is 0.327 states/eV per atom. As for the uncorrected formation energy: -2.115 eV per atom.

Unit cell a=3.629 b=7.292 c=12.015 alpha=90.00 beta=90.00 gamma=104.41
Element x y z (fractional)
Ba 0.148 0.296 0.309
O 0.045 0.090 0.047
O 0.955 0.910 0.547
O 0.665 0.330 0.896
O 0.517 0.033 0.282
Ba 0.852 0.704 0.809
Sm 0.794 0.588 0.522
Ba 0.904 0.808 0.188
O 0.483 0.967 0.782
O 0.627 0.254 0.488
Ba 0.096 0.192 0.688
Pd 0.519 0.039 0.948
O 0.277 0.555 0.645
Sm 0.206 0.412 0.022
O 0.335 0.670 0.396
Pd 0.481 0.961 0.448
O 0.373 0.746 0.988
O 0.723 0.445 0.145